Entry 1:
Computed, not measured: a geometry-optimized La2CeThSb4 structure at the PBE-GGA level of DFT.

Unit cell a=4.562 b=7.900 c=7.919 alpha=109.41 beta=90.00 gamma=90.00
Sites, in units of the cell vectors:
La (0.500, 0.000, 0.500)
La (0.000, 0.500, 0.500)
Sb (0.000, 0.748, 0.243)
Sb (0.500, 0.752, 0.757)
Sb (0.500, 0.248, 0.243)
Sb (0.000, 0.252, 0.757)
Ce (0.500, 0.500, 0.000)
Th (0.000, 0.000, 0.000)

Output
Space-group type   No. 10
Total energy   -48.855 eV per formula unit
Crystal system   monoclinic



Entry 2:
Computed, not measured: a geometry-optimized La2CeTh3Sb6 structure at the PBE-GGA level of DFT.

Unit cell a=4.539 b=9.102 c=10.172 alpha=103.08 beta=102.89 gamma=90.00
Sites, in units of the cell vectors:
Th (0.167, 0.834, 0.335)
Th (0.833, 0.166, 0.665)
Th (0.500, 0.500, 0.000)
Sb (0.665, 0.587, 0.331)
Sb (0.998, 0.249, 0.997)
Sb (0.002, 0.751, 0.003)
Sb (0.666, 0.079, 0.333)
Sb (0.335, 0.413, 0.669)
Sb (0.334, 0.921, 0.667)
Ce (0.500, 0.000, 0.000)
La (0.167, 0.334, 0.333)
La (0.833, 0.666, 0.667)

Output
Space-group type   No. 12
Total energy   -75.613 eV per formula unit
Crystal system   monoclinic



Entry 3:
Computed, not measured: a geometry-optimized La3CeTm2Sb6 structure at the PBE-GGA level of DFT.

Unit cell a=7.812 b=7.812 c=7.815 alpha=99.60 beta=99.60 gamma=120.01
Sites, in units of the cell vectors:
La (0.165, 0.835, 0.500)
La (0.500, 0.500, 0.500)
La (0.835, 0.165, 0.500)
Sb (0.921, 0.583, 0.763)
Sb (0.260, 0.260, 0.766)
Sb (0.740, 0.740, 0.234)
Sb (0.417, 0.079, 0.237)
Sb (0.583, 0.921, 0.763)
Sb (0.079, 0.417, 0.237)
Ce (0.000, 0.000, 0.000)
Tm (0.333, 0.667, 0.000)
Tm (0.667, 0.333, 0.000)

Output
Space-group type   No. 12
Total energy   -68.351 eV per formula unit
Crystal system   monoclinic



Entry 4:
Computed, not measured: a geometry-optimized La2Ce3TmSb6 structure at the PBE-GGA level of DFT.

Unit cell a=7.825 b=7.825 c=7.835 alpha=99.61 beta=99.61 gamma=120.02
Sites, in units of the cell vectors:
Ce (0.830, 0.170, 0.500)
Ce (0.500, 0.500, 0.500)
Ce (0.170, 0.830, 0.500)
Sb (0.238, 0.238, 0.745)
Sb (0.762, 0.762, 0.255)
Sb (0.917, 0.593, 0.750)
Sb (0.083, 0.407, 0.250)
Sb (0.593, 0.917, 0.750)
Sb (0.407, 0.083, 0.250)
Tm (0.000, 0.000, 0.000)
La (0.335, 0.665, 0.000)
La (0.665, 0.335, 0.000)

Output
Space-group type   No. 12
Total energy   -70.253 eV per formula unit
Crystal system   monoclinic



Entry 5:
Computed, not measured: a geometry-optimized LaCe2Y3Sb6 structure at the PBE-GGA level of DFT.

Unit cell a=7.750 b=7.750 c=7.721 alpha=99.63 beta=99.63 gamma=119.99
Sites, in units of the cell vectors:
Y (0.165, 0.835, 0.500)
Y (0.500, 0.500, 0.500)
Y (0.835, 0.165, 0.500)
Ce (0.667, 0.333, 0.000)
Ce (0.333, 0.667, 0.000)
Sb (0.576, 0.914, 0.742)
Sb (0.424, 0.086, 0.258)
Sb (0.748, 0.748, 0.257)
Sb (0.086, 0.424, 0.258)
Sb (0.914, 0.576, 0.742)
Sb (0.252, 0.252, 0.743)
La (0.000, 0.000, 0.000)

Output
Space-group type   No. 12
Total energy   -74.661 eV per formula unit
Crystal system   monoclinic



Entry 6:
Computed, not measured: a geometry-optimized La2Ce3YSb6 structure at the PBE-GGA level of DFT.

Unit cell a=7.839 b=7.839 c=7.849 alpha=99.60 beta=99.60 gamma=120.01
Sites, in units of the cell vectors:
La (0.666, 0.334, 0.000)
La (0.334, 0.666, 0.000)
Ce (0.500, 0.500, 0.500)
Ce (0.831, 0.169, 0.500)
Ce (0.169, 0.831, 0.500)
Y (0.000, 0.000, 0.000)
Sb (0.410, 0.084, 0.252)
Sb (0.084, 0.410, 0.252)
Sb (0.241, 0.241, 0.745)
Sb (0.759, 0.759, 0.255)
Sb (0.916, 0.590, 0.748)
Sb (0.590, 0.916, 0.748)

Output
Space-group type   No. 12
Total energy   -72.499 eV per formula unit
Crystal system   monoclinic



Entry 7:
Computed, not measured: a geometry-optimized La3Ce2YSb6 structure at the PBE-GGA level of DFT.

Unit cell a=7.871 b=7.871 c=7.884 alpha=99.58 beta=99.58 gamma=120.00
Sites, in units of the cell vectors:
Sb (0.589, 0.920, 0.760)
Sb (0.250, 0.250, 0.759)
Sb (0.750, 0.750, 0.241)
Sb (0.411, 0.080, 0.240)
Sb (0.920, 0.589, 0.760)
Sb (0.080, 0.411, 0.240)
Ce (0.334, 0.666, 0.000)
Ce (0.666, 0.334, 0.000)
La (0.168, 0.832, 0.500)
La (0.500, 0.500, 0.500)
La (0.832, 0.168, 0.500)
Y (0.000, 0.000, 0.000)

Output
Space-group type   No. 12
Total energy   -72.007 eV per formula unit
Crystal system   monoclinic



Entry 8:
Computed, not measured: a geometry-optimized LaCe3Y2Sb6 structure at the PBE-GGA level of DFT.

Unit cell a=7.775 b=7.775 c=7.773 alpha=99.62 beta=99.62 gamma=120.00
Sites, in units of the cell vectors:
Sb (0.741, 0.741, 0.246)
Sb (0.576, 0.916, 0.750)
Sb (0.424, 0.084, 0.250)
Sb (0.916, 0.576, 0.750)
Sb (0.259, 0.259, 0.754)
Sb (0.084, 0.424, 0.250)
La (0.000, 0.000, 0.000)
Y (0.668, 0.332, 0.000)
Y (0.332, 0.668, 0.000)
Ce (0.836, 0.164, 0.500)
Ce (0.164, 0.836, 0.500)
Ce (0.500, 0.500, 0.500)

Output
Space-group type   No. 12
Total energy   -73.822 eV per formula unit
Crystal system   monoclinic



Entry 9:
Computed, not measured: a geometry-optimized LaCeSc structure at the PBE-GGA level of DFT.

Unit cell a=3.989 b=6.360 c=3.989 alpha=71.72 beta=90.00 gamma=108.28
Sites, in units of the cell vectors:
La (0.056, 0.112, 0.944)
Ce (0.371, 0.741, 0.629)
Sc (0.723, 0.447, 0.277)

Output
Space-group type   No. 107
Crystal system   tetragonal
Polymorph energy (0 for the lowest one)   0.074 eV/atom
ΔE_f   0.51 eV/f.u.



Entry 10:
Computed, not measured: a geometry-optimized LaCe4Sc structure at the PBE-GGA level of DFT.

Unit cell a=6.265 b=6.265 c=6.265 alpha=60.00 beta=60.00 gamma=60.00
Sites, in units of the cell vectors:
Ce (0.631, 0.631, 0.631)
Ce (0.631, 0.108, 0.631)
Ce (0.631, 0.631, 0.108)
Ce (0.108, 0.631, 0.631)
La (0.250, 0.250, 0.250)
Sc (0.000, 0.000, 0.000)

Output
Space-group type   No. 216
Crystal system   cubic
ΔE_f   1.34 eV/f.u.



Entry 11:
Computed, not measured: a geometry-optimized LaCeSc structure at the PBE-GGA level of DFT.

Unit cell a=3.465 b=3.465 c=8.421 alpha=90.00 beta=90.00 gamma=120.00
Sites, in units of the cell vectors:
Ce (0.333, 0.667, 0.657)
Sc (0.667, 0.333, 0.343)
La (0.000, 0.000, 0.999)

Output
Space-group type   No. 156
Crystal system   trigonal
Polymorph energy (0 for the lowest one)   0.000 eV/atom
ΔE_f   0.29 eV/f.u.



Entry 12:
Computed, not measured: a geometry-optimized LaCeSc structure at the PBE-GGA level of DFT.

Unit cell a=3.125 b=3.125 c=9.236 alpha=99.74 beta=99.74 gamma=90.00
Sites, in units of the cell vectors:
Ce (0.944, 0.944, 0.889)
La (0.781, 0.781, 0.563)
Sc (0.124, 0.124, 0.248)

Output
Space-group type   No. 107
Crystal system   tetragonal
Polymorph energy (0 for the lowest one)   0.337 eV/atom
ΔE_f   1.30 eV/f.u.